{
  "formula": "Ru2WN",
  "functional": "PBE",
  "state": "relaxed",
  "lattice_angstrom": [[5.117, 0.000, 0.000], [0.000, 5.117, 0.000], [2.559, 2.559, 4.858]],
  "species": ["W", "W", "Ru", "Ru", "Ru", "Ru", "N", "N"],
  "fractional_positions": [[0.750, 0.250, 0.500], [0.000, 0.000, 0.000], [0.875, 0.793, 0.750], [0.375, 0.457, 0.750], [0.543, 0.125, 0.250], [0.207, 0.625, 0.250], [0.250, 0.750, 0.500], [0.500, 0.500, 0.000]],
  "energy_ry_per_atom": -0.6914,
  "raw_formation_energy_ev_per_atom": 0.551,
  "dos_ef_per_ev_cell": 9.71,
  "spacegroup": "I-42d (122)",
  "m_tot_mub_per_fu": 0.00
}